Computed, not measured: a relaxed Y2InAg crystal at the GGA-PBE level of DFT.

The value obtained for the density of states at the Fermi level is 1.0455 states/eV per atom. Its crystal system is tetragonal. The value obtained for the total energy is -19.57 eV/f.u.

The space group is I-4m2 (No. 119) and the conventional cell measures 4.460, 4.460 and 10.262 Å, with angles of 90.00, 90.00 and 90.00 degrees. The inequivalent atoms are Y at (0.000, 0.000, 0.000), Y at (0.000, 0.500, 0.250), In at (0.000, 0.000, 0.500) and Ag at (0.000, 0.500, 0.750).